[1]
A plane-wave DFT calculation with PBE was carried out for a relaxed BaHfGaN3 crystal.

Computed properties:
The crystal system is monoclinic. The energy is -90.5 eV for the cell shown. The spin magnetization is 0.00 μB per cell. The theoretical density comes out at 7.05 g/cm3.

Cell: 7.4268 3.3775 8.3113 Å, 90.00 104.83 90.00°
Sites, in units of the cell vectors:
Ba 0.1982 0.2500 0.2283
Ba 0.8018 0.7500 0.7717
Hf 0.3456 0.7500 0.8793
Hf 0.6544 0.2500 0.1207
Ga 0.1132 0.2500 0.6073
Ga 0.8868 0.7500 0.3927
N 0.1484 0.2500 0.8489
N 0.1740 0.7500 0.5111
N 0.4524 0.7500 0.1286
N 0.5476 0.2500 0.8714
N 0.8260 0.2500 0.4889
N 0.8516 0.7500 0.1511

---

[2]
A plane-wave DFT calculation with PBE was carried out for a relaxed Ba2HfGaO6 crystal.

Computed properties:
The crystal system is trigonal. The energy is -71.1 eV for the cell shown. The spin magnetization is 1.06 μB per cell. The theoretical density comes out at 6.39 g/cm3.

Cell: 5.9163 5.9163 5.3024 Å, 90.00 90.00 120.00°
Sites, in units of the cell vectors:
Ba 0.3333 0.6667 0.1826
Ba 0.6667 0.3333 0.8174
Hf 0.0000 0.0000 0.5000
Ga 0.0000 0.0000 0.0000
O 0.1538 0.3077 0.7609
O 0.1538 0.8462 0.7609
O 0.3077 0.1538 0.2391
O 0.6923 0.8462 0.7609
O 0.8462 0.1538 0.2391
O 0.8462 0.6923 0.2391

---

[3]
A plane-wave DFT calculation with PBE was carried out for a relaxed BaHfGa2Pt crystal.

Computed properties:
The crystal system is tetragonal. The energy is -19.5 eV for the cell shown. The spin magnetization is 0.87 μB per cell. The theoretical density comes out at 6.57 g/cm3.

Cell: 5.1126 5.1126 6.2928 Å, 90.00 90.00 90.00°
Sites, in units of the cell vectors:
Ba 0.0000 0.0000 0.0000
Hf 0.0000 0.0000 0.5000
Ga 0.0000 0.5000 0.5000
Ga 0.5000 0.0000 0.5000
Pt 0.5000 0.5000 0.0000

---

[4]
A plane-wave DFT calculation with PBE was carried out for a relaxed BaHf2ScGa crystal.

Computed properties:
The crystal system is tetragonal. The energy is -27.6 eV for the cell shown. The spin magnetization is 0.00 μB per cell. The theoretical density comes out at 6.92 g/cm3.

Cell: 5.1900 5.1900 5.4269 Å, 90.00 90.00 90.00°
Sites, in units of the cell vectors:
Ba 0.0000 0.0000 0.0000
Hf 0.0000 0.5000 0.5000
Hf 0.5000 0.0000 0.5000
Sc 0.5000 0.5000 0.5000
Ga 0.5000 0.5000 0.0000

---

[5]
A plane-wave DFT calculation with PBE was carried out for a relaxed BaHfGa2Sn crystal.

Computed properties:
The crystal system is tetragonal. The energy is -19.6 eV for the cell shown. The spin magnetization is 0.23 μB per cell. The theoretical density comes out at 5.86 g/cm3.

Cell: 5.3928 5.3928 5.5878 Å, 90.00 90.00 90.00°
Sites, in units of the cell vectors:
Ba 0.0000 0.0000 0.0000
Hf 0.5000 0.5000 0.0000
Ga 0.0000 0.5000 0.5000
Ga 0.5000 0.0000 0.5000
Sn 0.5000 0.5000 0.5000

---

[6]
A plane-wave DFT calculation with PBE was carried out for a relaxed BaHfTi2Ga crystal.

Computed properties:
The crystal system is tetragonal. The energy is -27.5 eV for the cell shown. The spin magnetization is 1.25 μB per cell. The theoretical density comes out at 5.75 g/cm3.

Cell: 5.0410 5.0410 5.4677 Å, 90.00 90.00 90.00°
Sites, in units of the cell vectors:
Ba 0.0000 0.0000 0.0000
Hf 0.5000 0.5000 0.5000
Ti 0.0000 0.5000 0.5000
Ti 0.5000 0.0000 0.5000
Ga 0.5000 0.5000 0.0000

---

[7]
A plane-wave DFT calculation with PBE was carried out for a relaxed BaHfZn2Ga crystal.

Computed properties:
The crystal system is tetragonal. The energy is -15.7 eV for the cell shown. The spin magnetization is 0.00 μB per cell. The theoretical density comes out at 6.58 g/cm3.

Cell: 4.9663 4.9663 5.2863 Å, 90.00 90.00 90.00°
Sites, in units of the cell vectors:
Ba 0.0000 0.0000 0.0000
Hf 0.5000 0.5000 0.0000
Zn 0.0000 0.5000 0.5000
Zn 0.5000 0.0000 0.5000
Ga 0.5000 0.5000 0.5000

---

[8]
A plane-wave DFT calculation with PBE was carried out for a relaxed BaGaHg4 crystal.

Computed properties:
The crystal system is orthorhombic. The spin magnetization is 0.00 μB per cell. For the energy above the most stable polymorph in this dataset, the calculation gives 0.21 eV per formula unit. The theoretical density comes out at 9.57 g/cm3.

Cell: 8.4446 8.4446 7.9412 Å, 90.00 90.00 141.77°
Sites, in units of the cell vectors:
Ba 0.1117 0.8883 0.7500
Ba 0.8883 0.1117 0.2500
Ga 0.3721 0.6279 0.7500
Ga 0.6279 0.3721 0.2500
Hg 0.1045 0.8955 0.2500
Hg 0.2829 0.7171 0.0566
Hg 0.2829 0.7171 0.4434
Hg 0.5000 0.5000 0.0000
Hg 0.5000 0.5000 0.5000
Hg 0.7171 0.2829 0.5566
Hg 0.7171 0.2829 0.9434
Hg 0.8955 0.1045 0.7500

---

[9]
A plane-wave DFT calculation with PBE was carried out for a relaxed BaGa2Hg10 crystal.

Computed properties:
The crystal system is orthorhombic. The energy is -12.3 eV for the cell shown. The spin magnetization is 0.00 μB per cell. The theoretical density comes out at 11.02 g/cm3.

Cell: 10.3320 8.0130 7.9572 Å, 80.62 49.92 49.45°
Sites, in units of the cell vectors:
Ba 0.0000 0.0000 0.0000
Ga 0.0000 0.5000 0.0000
Ga 0.5000 0.0000 0.5000
Hg 0.0000 0.0000 0.5000
Hg 0.0085 0.3491 0.6509
Hg 0.2837 0.4963 0.5037
Hg 0.3491 0.0085 0.9915
Hg 0.4963 0.2837 0.7163
Hg 0.5000 0.5000 0.0000
Hg 0.5037 0.7163 0.2837
Hg 0.6509 0.9915 0.0085
Hg 0.7163 0.5037 0.4963
Hg 0.9915 0.6509 0.3491

---

[10]
A plane-wave DFT calculation with PBE was carried out for a relaxed Ba2Ga5Hg crystal.

Computed properties:
The crystal system is orthorhombic. The energy is -45.3 eV for the cell shown. The spin magnetization is 0.00 μB per cell. The theoretical density comes out at 6.40 g/cm3.

Cell: 10.2740 10.2740 9.5110 Å, 90.00 90.00 154.78°
Sites, in units of the cell vectors:
Ba 0.0000 0.0000 0.0000
Ba 0.0000 0.0000 0.5000
Ba 0.2148 0.7852 0.7500
Ba 0.7852 0.2148 0.2500
Ga 0.1708 0.8292 0.1147
Ga 0.1708 0.8292 0.3853
Ga 0.3594 0.6406 0.0033
Ga 0.3594 0.6406 0.4967
Ga 0.4187 0.5813 0.7500
Ga 0.5813 0.4187 0.2500
Ga 0.6406 0.3594 0.5033
Ga 0.6406 0.3594 0.9967
Ga 0.8292 0.1708 0.6147
Ga 0.8292 0.1708 0.8853
Hg 0.4308 0.5692 0.2500
Hg 0.5692 0.4308 0.7500

---

[11]
A plane-wave DFT calculation with PBE was carried out for a relaxed Ba2GaHg3 crystal.

Computed properties:
The crystal system is monoclinic. The energy is -10.6 eV for the cell shown. The spin magnetization is 0.00 μB per cell. The theoretical density comes out at 8.31 g/cm3.

Cell: 6.5903 6.5903 8.4465 Å, 129.63 129.63 45.57°
Sites, in units of the cell vectors:
Ba 0.0000 0.0000 0.0000
Ba 0.0749 0.0749 0.5584
Ga 0.7089 0.7089 0.0182
Hg 0.3593 0.3593 0.1447
Hg 0.3976 0.3976 0.6068
Hg 0.7095 0.7095 0.3867

---

[12]
A plane-wave DFT calculation with PBE was carried out for a relaxed Ba2Ga2Hg crystal.

Computed properties:
The crystal system is monoclinic. The spin magnetization is 0.00 μB per cell. For the energy above the most stable polymorph in this dataset, the calculation gives 0.00 eV per formula unit. The theoretical density comes out at 6.30 g/cm3.

Cell: 6.3822 6.3822 12.0025 Å, 114.18 114.18 47.83°
Sites, in units of the cell vectors:
Ba 0.0877 0.0877 0.3823
Ba 0.3052 0.3052 0.8322
Ba 0.6948 0.6948 0.1678
Ba 0.9123 0.9123 0.6177
Ga 0.0778 0.0778 0.9495
Ga 0.3947 0.3947 0.4010
Ga 0.6053 0.6053 0.5990
Ga 0.9222 0.9222 0.0505
Hg 0.3818 0.3818 0.1509
Hg 0.6182 0.6182 0.8491

---

[13]
A plane-wave DFT calculation with PBE was carried out for a relaxed BaGaHg14 crystal.

Computed properties:
The crystal system is orthorhombic. The energy is -20.1 eV for the cell shown. The spin magnetization is 0.00 μB per cell. The theoretical density comes out at 10.47 g/cm3.

Cell: 10.8189 10.8189 10.8189 Å, 116.10 112.19 100.51°
Sites, in units of the cell vectors:
Ba 0.3300 0.0800 0.2500
Ba 0.6700 0.9200 0.7500
Ga 0.0000 0.5000 0.5000
Ga 0.5000 0.5000 0.0000
Hg 0.0102 0.2312 0.0635
Hg 0.0102 0.9466 0.7789
Hg 0.0139 0.1397 0.6258
Hg 0.0139 0.3881 0.8742
Hg 0.1864 0.5499 0.3691
Hg 0.1864 0.8172 0.6365
Hg 0.2335 0.3366 0.6031
Hg 0.2335 0.6305 0.8969
Hg 0.3192 0.1828 0.8691
Hg 0.3192 0.4501 0.1365
Hg 0.3323 0.0534 0.5635
Hg 0.3323 0.7688 0.2789
Hg 0.4465 0.5612 0.6147
Hg 0.4465 0.8318 0.8853
Hg 0.5535 0.1682 0.1147
Hg 0.5535 0.4388 0.3853
Hg 0.6677 0.2312 0.7211
Hg 0.6677 0.9466 0.4365
Hg 0.6808 0.5499 0.8635
Hg 0.6808 0.8172 0.1309
Hg 0.7665 0.3695 0.1031
Hg 0.7665 0.6634 0.3969
Hg 0.8136 0.1828 0.3635
Hg 0.8136 0.4501 0.6309
Hg 0.9861 0.6119 0.1258
Hg 0.9861 0.8603 0.3742
Hg 0.9898 0.0534 0.2211
Hg 0.9898 0.7688 0.9365

---

[14]
A plane-wave DFT calculation with PBE was carried out for a relaxed BaGa2Hg2 crystal.

Computed properties:
The crystal system is tetragonal. The energy is -18.2 eV for the cell shown. The spin magnetization is 0.00 μB per cell. The theoretical density comes out at 8.28 g/cm3.

Cell: 8.6678 8.6678 3.6194 Å, 90.00 90.00 90.00°
Sites, in units of the cell vectors:
Ba 0.0000 0.0000 0.0000
Ba 0.5000 0.5000 0.0000
Ga 0.1665 0.3335 0.5000
Ga 0.3335 0.8335 0.5000
Ga 0.6665 0.1665 0.5000
Ga 0.8335 0.6665 0.5000
Hg 0.1268 0.6268 0.0000
Hg 0.3732 0.1268 0.0000
Hg 0.6268 0.8732 0.0000
Hg 0.8732 0.3732 0.0000

---

[15]
A plane-wave DFT calculation with PBE was carried out for a relaxed Ba3Ga4Hg2 crystal.

Computed properties:
The crystal system is monoclinic. The energy is -22.4 eV for the cell shown. The spin magnetization is 0.00 μB per cell. The theoretical density comes out at 6.42 g/cm3.

Cell: 6.8265 6.8265 9.6184 Å, 97.76 97.76 39.56°
Sites, in units of the cell vectors:
Ba 0.0000 0.0000 0.0000
Ba 0.3286 0.3286 0.3297
Ba 0.6714 0.6714 0.6703
Ga 0.0564 0.0564 0.4039
Ga 0.2809 0.2809 0.9594
Ga 0.7191 0.7191 0.0406
Ga 0.9436 0.9436 0.5961
Hg 0.3919 0.3919 0.7255
Hg 0.6081 0.6081 0.2745

---

[16]
A plane-wave DFT calculation with PBE was carried out for a relaxed BaGa2Hg crystal.

Computed properties:
The crystal system is tetragonal. The energy is -18.5 eV for the cell shown. The spin magnetization is 0.00 μB per cell. The theoretical density comes out at 6.28 g/cm3.

Cell: 10.4103 10.4103 10.4103 Å, 151.75 151.75 40.38°
Sites, in units of the cell vectors:
Ba 0.0000 0.0000 0.0000
Ba 0.7500 0.2500 0.5000
Ga 0.3129 0.6250 0.1879
Ga 0.3750 0.5629 0.6879
Ga 0.4371 0.1250 0.8121
Ga 0.8750 0.6871 0.3121
Hg 0.2500 0.7500 0.5000
Hg 0.5000 0.5000 0.0000

---

[17]
A plane-wave DFT calculation with PBE was carried out for a relaxed BaGa2Hg9 crystal.

Computed properties:
The crystal system is tetragonal. The energy is -24.2 eV for the cell shown. The spin magnetization is 0.00 μB per cell. The theoretical density comes out at 10.97 g/cm3.

Cell: 9.7048 9.7048 9.7048 Å, 100.05 100.05 130.60°
Sites, in units of the cell vectors:
Ba 0.3750 0.6250 0.7500
Ba 0.6250 0.3750 0.2500
Ga 0.0000 0.0000 0.0000
Ga 0.0000 0.0000 0.5000
Ga 0.0000 0.5000 0.0000
Ga 0.5000 0.0000 0.5000
Hg 0.1075 0.5439 0.3196
Hg 0.1075 0.7879 0.5636
Hg 0.1250 0.8750 0.2500
Hg 0.2121 0.2757 0.3196
Hg 0.2121 0.8925 0.9364
Hg 0.2757 0.2121 0.8196
Hg 0.2757 0.4561 0.0636
Hg 0.4561 0.2757 0.5636
Hg 0.4561 0.8925 0.1804
Hg 0.5439 0.1075 0.8196
Hg 0.5439 0.7243 0.4364
Hg 0.7243 0.5439 0.9364
Hg 0.7243 0.7879 0.1804
Hg 0.7879 0.1075 0.0636
Hg 0.7879 0.7243 0.6804
Hg 0.8750 0.1250 0.7500
Hg 0.8925 0.2121 0.4364
Hg 0.8925 0.4561 0.6804

---

[18]
A plane-wave DFT calculation with PBE was carried out for a relaxed BaGa3Hg crystal.

Computed properties:
The crystal system is cubic. The spin magnetization is 0.00 μB per cell. For the energy above the most stable polymorph in this dataset, the calculation gives 3.93 eV per formula unit. The theoretical density comes out at 3.67 g/cm3.

Cell: 6.2788 6.2788 6.2788 Å, 90.00 90.00 90.00°
Sites, in units of the cell vectors:
Ba 0.0000 0.0000 0.0000
Ga 0.0000 0.0000 0.5000
Ga 0.0000 0.5000 0.0000
Ga 0.5000 0.0000 0.0000
Hg 0.5000 0.5000 0.5000

---

[19]
A plane-wave DFT calculation with PBE was carried out for a relaxed BaGa2Hg2 crystal.

Computed properties:
The crystal system is tetragonal. The energy is -18.7 eV for the cell shown. The spin magnetization is 0.00 μB per cell. The theoretical density comes out at 8.31 g/cm3.

Cell: 8.4977 8.4977 3.7536 Å, 90.00 90.00 90.00°
Sites, in units of the cell vectors:
Ba 0.0000 0.0000 0.0000
Ba 0.5000 0.5000 0.0000
Ga 0.1137 0.3863 0.0000
Ga 0.3863 0.8863 0.0000
Ga 0.6137 0.1137 0.0000
Ga 0.8863 0.6137 0.0000
Hg 0.1743 0.6743 0.5000
Hg 0.3257 0.1743 0.5000
Hg 0.6743 0.8257 0.5000
Hg 0.8257 0.3257 0.5000

---

[20]
A plane-wave DFT calculation with PBE was carried out for a relaxed Ba2Ga2Hg crystal.

Computed properties:
The crystal system is tetragonal. The spin magnetization is 0.00 μB per cell. For the energy above the most stable polymorph in this dataset, the calculation gives 0.52 eV per formula unit. The theoretical density comes out at 6.07 g/cm3.

Cell: 8.3477 8.3477 4.8224 Å, 90.00 90.00 90.00°
Sites, in units of the cell vectors:
Ba 0.1921 0.3079 0.0000
Ba 0.3079 0.8079 0.0000
Ba 0.6921 0.1921 0.0000
Ba 0.8079 0.6921 0.0000
Ga 0.1060 0.6060 0.5000
Ga 0.3940 0.1060 0.5000
Ga 0.6060 0.8940 0.5000
Ga 0.8940 0.3940 0.5000
Hg 0.0000 0.0000 0.5000
Hg 0.5000 0.5000 0.5000